# GGA-PBE Te2RhBr, optimized geometry
data_Te2RhBr
_symmetry_space_group_name_H-M 'P n a 21'
_symmetry_Int_Tables_number 33
_symmetry_space_group_name_Hall 'P 2c -2n'
_cell_length_a 6.539
_cell_length_b 10.392
_cell_length_c 6.213
_cell_angle_alpha 90.00
_cell_angle_beta 90.00
_cell_angle_gamma 90.00
loop_
_atom_site_label
_atom_site_fract_x
_atom_site_fract_y
_atom_site_fract_z
_atom_site_occupancy
Te1 0.076 0.167 0.000 1
Te2 0.149 0.550 0.179 1
Rh1 0.204 0.395 0.865 1
Br1 0.203 0.829 0.978 1
# **E_form (uncorrected)**: -0.16 eV/atom
# **Crystal system**: orthorhombic
# **VASP energy**: -63.74 eV per cell